First-principles (PBE+U) data for crystalline AcCr2InO8 at its relaxed geometry, as listed in the Alexandria database.

Cell: 6.303 6.303 6.303 Å, 105.82 105.82 117.04°
Atoms (fractional coordinates):
1 Ac 0.000 0.000 0.000
2 Cr 0.500 0.500 0.000
3 Cr 0.750 0.250 0.500
4 In 0.250 0.750 0.500
5 O 0.343 0.169 0.826
6 O 0.343 0.517 0.174
7 O 0.410 0.083 0.327
8 O 0.483 0.657 0.826
9 O 0.757 0.083 0.673
10 O 0.831 0.657 0.174
11 O 0.917 0.243 0.327
12 O 0.917 0.590 0.673

The total DFT energy (no corrections) is -82.28 eV for the cell shown.